Computed, not measured: a relaxed structure of Hf2IBr at the PBE-GGA level of DFT.

a = 4.958 Å, b = 4.958 Å, c = 4.958 Å
α = 60.00°, β = 60.00°, γ = 60.00°
Fractional positions:
Hf 0.250 0.250 0.250
Hf 0.750 0.750 0.750
I 0.000 0.000 0.000
Br 0.500 0.500 0.500

total DFT energy (no corrections): -5.498 eV/atom
offset from the most stable computed form: 125 meV per atom
formation energy from raw total energies: 0.2849 eV/atom
M_tot: 0.99 μB/cell
Fermi-level density of states: 1.28 states/eV per atom